## TbSm3Th4Se8 (PBE-GGA)

Data for TbSm3Th4Se8 after structural relaxation.

Properties
formation energy (no corrections): -1.67 eV/atom
DFT total energy: -103.05 eV for the cell shown
space group: No. 166
DOS at the Fermi energy: 5.32 states/eV/cell

a b c (Å): 8.492 8.492 8.492
angles (deg): 57.89 57.89 57.89
Atoms (fractional coordinates):
Tb  0.000  0.000  0.000
Sm  0.000  0.500  0.500
Sm  0.500  0.000  0.500
Sm  0.500  0.500  0.000
Th  0.000  0.000  0.500
Th  0.000  0.500  0.000
Th  0.500  0.000  0.000
Th  0.500  0.500  0.500
Se  0.245  0.245  0.750
Se  0.245  0.750  0.245
Se  0.250  0.755  0.755
Se  0.252  0.252  0.252
Se  0.748  0.748  0.748
Se  0.750  0.245  0.245
Se  0.755  0.250  0.755
Se  0.755  0.755  0.250

## Pr6Tm2In (PBE-GGA)

Data for Pr6Tm2In after structural relaxation.

Properties
E_form: -0.05 eV per atom
DFT total energy: -81.55 eV for the cell shown
polymorph energy (0 for the lowest one): 17 meV per atom
space group: No. 15
DOS at the Fermi energy: 20.59 states/eV/cell

a b c (Å): 11.509 11.509 6.390
angles (deg): 106.07 106.07 47.69
Atoms (fractional coordinates):
Pr  0.008  0.151  0.441
Pr  0.081  0.580  0.081
Pr  0.151  0.008  0.941
Pr  0.348  0.492  0.780
Pr  0.420  0.919  0.419
Pr  0.492  0.348  0.280
Pr  0.508  0.652  0.720
Pr  0.580  0.081  0.581
Pr  0.652  0.508  0.220
Pr  0.849  0.992  0.059
Pr  0.919  0.420  0.919
Pr  0.992  0.849  0.559
Tm  0.173  0.327  0.422
Tm  0.327  0.173  0.922
Tm  0.673  0.827  0.078
Tm  0.827  0.673  0.578
In  0.251  0.749  0.250
In  0.749  0.251  0.750

## Er3Ni2Pb (PBE-GGA)

Data for Er3Ni2Pb after structural relaxation.

Properties
E_form: -0.43 eV per atom
DFT total energy: -63.13 eV for the cell shown
space group: No. 26
DOS at the Fermi energy: 7.41 states/eV/cell

a b c (Å): 4.317 8.992 7.009
angles (deg): 90.00 90.00 90.00
Atoms (fractional coordinates):
Er  0.000  0.058  0.000
Er  0.000  0.942  0.500
Er  0.500  0.243  0.387
Er  0.500  0.338  0.855
Er  0.500  0.662  0.355
Er  0.500  0.757  0.887
Ni  0.000  0.213  0.650
Ni  0.000  0.787  0.150
Ni  0.500  0.048  0.716
Ni  0.500  0.952  0.216
Pb  0.000  0.471  0.132
Pb  0.000  0.529  0.632

## PrSi3Pd3 (PBE-GGA)

Data for PrSi3Pd3 after structural relaxation.

Properties
formation energy (no corrections): -0.53 eV/atom
DFT total energy: -80.70 eV for the cell shown
polymorph energy (0 for the lowest one): 0 meV per atom
space group: No. 176
DOS at the Fermi energy: 6.24 states/eV/cell

a b c (Å): 8.930 8.930 4.289
angles (deg): 90.00 90.00 120.00
Atoms (fractional coordinates):
Pr  0.333  0.667  0.250
Pr  0.667  0.333  0.750
Si  0.055  0.633  0.750
Si  0.367  0.422  0.750
Si  0.422  0.055  0.250
Si  0.578  0.945  0.750
Si  0.633  0.578  0.250
Si  0.945  0.367  0.250
Pd  0.077  0.372  0.750
Pd  0.294  0.923  0.750
Pd  0.372  0.294  0.250
Pd  0.628  0.706  0.750
Pd  0.706  0.077  0.250
Pd  0.923  0.628  0.250

## Sr3Tb3CeTe8 (PBE-GGA)

Data for Sr3Tb3CeTe8 after structural relaxation.

Properties
formation energy (no corrections): -1.50 eV/atom
DFT total energy: -72.56 eV for the cell shown
space group: No. 166
DOS at the Fermi energy: 12.78 states/eV/cell

a b c (Å): 9.212 9.212 9.212
angles (deg): 58.06 58.06 58.06
Atoms (fractional coordinates):
Sr  0.000  0.500  0.500
Sr  0.500  0.000  0.500
Sr  0.500  0.500  0.000
Tb  0.000  0.000  0.500
Tb  0.000  0.500  0.000
Tb  0.500  0.000  0.000
Ce  0.500  0.500  0.500
Te  0.234  0.752  0.752
Te  0.244  0.244  0.244
Te  0.248  0.248  0.766
Te  0.248  0.766  0.248
Te  0.752  0.234  0.752
Te  0.752  0.752  0.234
Te  0.756  0.756  0.756
Te  0.766  0.248  0.248

## AlSi2Ni (PBE-GGA)

Data for AlSi2Ni after structural relaxation.

Properties
formation energy (no corrections): -0.05 eV/atom
DFT total energy: -41.16 eV for the cell shown
space group: No. 164
DOS at the Fermi energy: 2.99 states/eV/cell

a b c (Å): 3.905 3.905 9.240
angles (deg): 90.00 90.00 120.00
Atoms (fractional coordinates):
Al  0.000  0.000  0.229
Al  0.000  0.000  0.771
Si  0.333  0.667  0.643
Si  0.333  0.667  0.945
Si  0.667  0.333  0.055
Si  0.667  0.333  0.357
Ni  0.333  0.667  0.394
Ni  0.667  0.333  0.606

## La2LuPa (PBE-GGA)

Data for La2LuPa after structural relaxation.

Properties
E_form: 0.16 eV per atom
DFT total energy: -23.22 eV for the cell shown
space group: No. 123
DOS at the Fermi energy: 7.26 states/eV/cell

a b c (Å): 3.456 3.456 10.339
angles (deg): 90.00 90.00 90.00
Atoms (fractional coordinates):
La  0.000  0.000  0.233
La  0.000  0.000  0.767
Lu  0.500  0.500  0.500
Pa  0.500  0.500  0.000

## GdTmPb2 (PBE-GGA)

Data for GdTmPb2 after structural relaxation.

Properties
E_form: -0.41 eV per atom
DFT total energy: -27.62 eV for the cell shown
polymorph energy (0 for the lowest one): 18 meV per atom
space group: No. 123
DOS at the Fermi energy: 3.28 states/eV/cell

a b c (Å): 4.047 4.047 6.911
angles (deg): 90.00 90.00 90.00
Atoms (fractional coordinates):
Gd  0.000  0.000  0.000
Tm  0.000  0.000  0.500
Pb  0.500  0.500  0.258
Pb  0.500  0.500  0.742

## Cs2Cr3Te6 (PBE-GGA)

Data for Cs2Cr3Te6 after structural relaxation.

Properties
formation energy (no corrections): -0.48 eV/atom
DFT total energy: -54.67 eV for the cell shown
space group: No. 12
DOS at the Fermi energy: 2.95 states/eV/cell

a b c (Å): 6.937 6.937 9.350
angles (deg): 97.10 97.10 120.00
Atoms (fractional coordinates):
Cs  0.167  0.833  0.000
Cs  0.833  0.167  0.000
Cr  0.000  0.000  0.500
Cr  0.332  0.668  0.500
Cr  0.668  0.332  0.500
Te  0.058  0.388  0.665
Te  0.281  0.281  0.335
Te  0.388  0.058  0.665
Te  0.612  0.942  0.335
Te  0.719  0.719  0.665
Te  0.942  0.612  0.335

## ReS2 (PBE-GGA)

Data for ReS2 after structural relaxation.

Properties
formation energy (no corrections): -0.57 eV/atom
DFT total energy: -179.31 eV for the cell shown
space group: No. 2

a b c (Å): 6.418 6.517 14.327
angles (deg): 78.76 77.57 61.16
Atoms (fractional coordinates):
Re  0.187  0.060  0.254
Re  0.239  0.966  0.749
Re  0.262  0.537  0.751
Re  0.312  0.437  0.246
Re  0.688  0.563  0.754
Re  0.738  0.463  0.249
Re  0.761  0.034  0.251
Re  0.813  0.940  0.746
S  0.097  0.370  0.665
S  0.106  0.382  0.137
S  0.138  0.840  0.153
S  0.150  0.843  0.624
S  0.351  0.660  0.876
S  0.361  0.657  0.347
S  0.393  0.115  0.363
S  0.404  0.133  0.835
S  0.596  0.867  0.165
S  0.607  0.885  0.637
S  0.639  0.343  0.653
S  0.649  0.340  0.124
S  0.850  0.157  0.376
S  0.862  0.160  0.847
S  0.894  0.618  0.863
S  0.903  0.630  0.335

## Hg4AsAu (PBE-GGA)

Data for Hg4AsAu after structural relaxation.

Properties
E_form: 0.48 eV per atom
DFT total energy: -6.24 eV for the cell shown
space group: No. 216
DOS at the Fermi energy: 4.18 states/eV/cell

a b c (Å): 5.858 5.858 5.858
angles (deg): 60.00 60.00 60.00
Atoms (fractional coordinates):
Hg  0.125  0.125  0.125
Hg  0.125  0.125  0.624
Hg  0.125  0.624  0.125
Hg  0.624  0.125  0.125
As  0.750  0.750  0.750
Au  0.500  0.500  0.500

## Ba3VPb (PBE-GGA)

Data for Ba3VPb after structural relaxation.

Properties
E_form: 0.49 eV per atom
DFT total energy: -16.13 eV for the cell shown
polymorph energy (0 for the lowest one): 0 meV per atom
space group: No. 221
DOS at the Fermi energy: 6.34 states/eV/cell

a b c (Å): 6.111 6.111 6.111
angles (deg): 90.00 90.00 90.00
Atoms (fractional coordinates):
Ba  0.000  0.000  0.500
Ba  0.000  0.500  0.000
Ba  0.500  0.000  0.000
V  0.000  0.000  0.000
Pb  0.500  0.500  0.500